# 1
A relaxed CaTl2I2Br2 crystal. Source: Alexandria via LeMat-Bulk, functional PBE.

Values from the calculation:
energy	-43.2	eV for the cell shown
calculated density	5.03	g/cm3
total moment	0.00	μB per formula unit
formation energy (no corrections)	-810	kJ/mol of formula units

Geometry as CIF:
```
data_CaTl2I2Br2
_chemical_formula_sum 'Ca2 Tl4 I4 Br4'
_cell_length_a 16.655
_cell_length_b 4.559
_cell_length_c 8.658
_cell_angle_alpha 90.00
_cell_angle_beta 119.95
_cell_angle_gamma 90.00
_space_group_name_H-M_alt 'C 1 2/m 1'
_space_group_IT_number 12
_space_group_name_Hall '-C 2y'
loop_
_atom_site_label
_atom_site_type_symbol
_atom_site_fract_x
_atom_site_fract_y
_atom_site_fract_z
_atom_site_occupancy
Ca1 Ca 0.000 0.000 0.000 1
Tl1 Tl 0.149 0.000 0.587 1
I1 I 0.029 0.500 0.774 1
Br1 Br 0.194 0.000 0.261 1
```

# 2
A relaxed BaCu2SiP6 crystal. Source: Alexandria via LeMat-Bulk, functional PBE.

Values from the calculation:
energy	-142.9	eV for the cell shown
calculated density	3.35	g/cm3
total moment	0.00	μB per formula unit
formation energy (no corrections)	36	kJ/mol of formula units

Geometry as CIF:
```
data_BaCu2SiP6
_chemical_formula_sum 'Ba3 Cu6 Si3 P18'
_cell_length_a 5.6749
_cell_length_b 5.6749
_cell_length_c 25.5303
_cell_angle_alpha 90.00
_cell_angle_beta 90.00
_cell_angle_gamma 120.00
_space_group_name_H-M_alt 'R -3 m'
_space_group_IT_number 166
_space_group_name_Hall '-R 3 2"'
loop_
_atom_site_label
_atom_site_type_symbol
_atom_site_fract_x
_atom_site_fract_y
_atom_site_fract_z
_atom_site_occupancy
Ba1 Ba 0.0000 0.0000 0.0000 1
Cu1 Cu 0.0000 0.0000 0.2958 1
Si1 Si 0.0000 0.0000 0.5000 1
P1 P 0.0717 0.5358 0.0824 1
```

# 3
A relaxed Dy6ErAl crystal. Source: Alexandria via LeMat-Bulk, functional PBE.

Values from the calculation:
energy of formation	0.04	eV per atom
energy	-106.8	eV for the cell shown
calculated density	8.05	g/cm3
total moment	0.00	μB per formula unit

Geometry as CIF:
```
data_Dy6ErAl
_chemical_formula_sum 'Dy18 Er3 Al3'
_cell_length_a 9.1261
_cell_length_b 9.1261
_cell_length_c 10.0378
_cell_angle_alpha 90.00
_cell_angle_beta 90.00
_cell_angle_gamma 120.00
_space_group_name_H-M_alt 'R -3'
_space_group_IT_number 148
_space_group_name_Hall '-R 3'
loop_
_atom_site_label
_atom_site_type_symbol
_atom_site_fract_x
_atom_site_fract_y
_atom_site_fract_z
_atom_site_occupancy
Dy1 Dy 0.0235 0.2519 0.2156 1
Er1 Er 0.0000 0.0000 0.5000 1
Al1 Al 0.0000 0.0000 0.0000 1
```

# 4
A relaxed SrLiCr2Ge crystal. Source: Alexandria via LeMat-Bulk, functional PBE.

Values from the calculation:
energy of formation	1.01	eV per atom
energy	-22.4	eV for the cell shown
calculated density	3.78	g/cm3
total moment	8.37	μB per formula unit

Geometry as CIF:
```
data_SrLiCr2Ge
_chemical_formula_sum 'Sr1 Li1 Cr2 Ge1'
_cell_length_a 4.750
_cell_length_b 4.750
_cell_length_c 5.282
_cell_angle_alpha 90.00
_cell_angle_beta 90.00
_cell_angle_gamma 90.00
_space_group_name_H-M_alt 'P 4/m m m'
_space_group_IT_number 123
_space_group_name_Hall '-P 4 2'
loop_
_atom_site_label
_atom_site_type_symbol
_atom_site_fract_x
_atom_site_fract_y
_atom_site_fract_z
_atom_site_occupancy
Sr1 Sr 0.000 0.000 0.000 1
Li1 Li 0.000 0.000 0.500 1
Cr1 Cr 0.000 0.500 0.500 1
Ge1 Ge 0.500 0.500 0.000 1
```

# 5
A relaxed Cs2CaNiI6 crystal. Source: Alexandria via LeMat-Bulk, functional PBE.

Values from the calculation:
energy	-117.7	eV for the cell shown
calculated density	4.50	g/cm3
total moment	2.00	μB per formula unit
formation energy (no corrections)	-1026	kJ/mol of formula units

Geometry as CIF:
```
data_Cs2CaNiI6
_chemical_formula_sum 'Cs8 Ca4 Ni4 I24'
_cell_length_a 11.844
_cell_length_b 11.844
_cell_length_c 11.844
_cell_angle_alpha 90.00
_cell_angle_beta 90.00
_cell_angle_gamma 90.00
_space_group_name_H-M_alt 'F m -3 m'
_space_group_IT_number 225
_space_group_name_Hall '-F 4 2 3'
loop_
_atom_site_label
_atom_site_type_symbol
_atom_site_fract_x
_atom_site_fract_y
_atom_site_fract_z
_atom_site_occupancy
Cs1 Cs 0.250 0.250 0.250 1
Ca1 Ca 0.000 0.000 0.000 1
Ni1 Ni 0.000 0.000 0.500 1
I1 I 0.000 0.000 0.264 1
```

# 6
A relaxed Sb3TeO crystal. Source: Alexandria via LeMat-Bulk, functional PBE.

Values from the calculation:
energy	-13.5	eV for the cell shown
relative energy among the computed polymorphs	1304.2	meV/atom
calculated density	4.53	g/cm3
total moment	0.00	μB per formula unit
formation energy (no corrections)	676	kJ/mol of formula units

Geometry as CIF:
```
data_Sb3TeO
_chemical_formula_sum 'Sb3 Te1 O1'
_cell_length_a 5.713
_cell_length_b 5.713
_cell_length_c 5.713
_cell_angle_alpha 90.00
_cell_angle_beta 90.00
_cell_angle_gamma 90.00
_space_group_name_H-M_alt 'P m -3 m'
_space_group_IT_number 221
_space_group_name_Hall '-P 4 2 3'
loop_
_atom_site_label
_atom_site_type_symbol
_atom_site_fract_x
_atom_site_fract_y
_atom_site_fract_z
_atom_site_occupancy
Sb1 Sb 0.000 0.000 0.500 1
Te1 Te 0.000 0.000 0.000 1
O1 O 0.500 0.500 0.500 1
```

# 7
A relaxed PaMnTlS4 crystal. Source: Alexandria via LeMat-Bulk, functional PBE.

Values from the calculation:
energy	-89.3	eV for the cell shown
calculated density	5.82	g/cm3
total moment	4.87	μB per formula unit
formation energy (no corrections)	-684	kJ/mol of formula units

Geometry as CIF:
```
data_PaMnTlS4
_chemical_formula_sum 'Pa2 Mn2 Tl2 S8'
_cell_length_a 6.514
_cell_length_b 6.437
_cell_length_c 8.934
_cell_angle_alpha 90.00
_cell_angle_beta 109.51
_cell_angle_gamma 90.00
_space_group_name_H-M_alt 'P 1 21/m 1'
_space_group_IT_number 11
_space_group_name_Hall '-P 2yb'
loop_
_atom_site_label
_atom_site_type_symbol
_atom_site_fract_x
_atom_site_fract_y
_atom_site_fract_z
_atom_site_occupancy
Pa1 Pa 0.230 0.250 0.052 1
Mn1 Mn 0.223 0.750 0.826 1
Tl1 Tl 0.282 0.250 0.560 1
S1 S 0.027 0.512 0.197 1
S2 S 0.443 0.750 0.673 1
S3 S 0.460 0.750 0.083 1
```

# 8
A relaxed KBiOs3 crystal. Source: Alexandria via LeMat-Bulk, functional PBE.

Values from the calculation:
energy of formation	2.66	eV per atom
energy	-25.4	eV for the cell shown
relative energy among the computed polymorphs	0.0	meV/atom
calculated density	10.11	g/cm3
total moment	3.79	μB per formula unit

Geometry as CIF:
```
data_KBiOs3
_chemical_formula_sum 'K1 Bi1 Os3'
_cell_length_a 5.124
_cell_length_b 5.124
_cell_length_c 5.124
_cell_angle_alpha 90.00
_cell_angle_beta 90.00
_cell_angle_gamma 90.00
_space_group_name_H-M_alt 'P m -3 m'
_space_group_IT_number 221
_space_group_name_Hall '-P 4 2 3'
loop_
_atom_site_label
_atom_site_type_symbol
_atom_site_fract_x
_atom_site_fract_y
_atom_site_fract_z
_atom_site_occupancy
K1 K 0.000 0.000 0.000 1
Bi1 Bi 0.500 0.500 0.500 1
Os1 Os 0.000 0.500 0.500 1
```

Which value of energy does entry 4 give? -22.4 eV for the cell shown